A plane-wave DFT calculation with PBE was carried out for a relaxed Ba2CaReGe crystal.

ΔH_f (0 K), eV per atom: 0.44
VASP energy, eV per atom: -4.141
Space group: No. 123
Theoretical density, g/cm3: 5.19

abc: 6.0880 4.9505 6.0880
angles: 90.00 90.00 90.00
Closest atoms and distances in Å follow each position.
Atoms (fractional coordinates):
Ba 0.0000 0.0000 0.5000  2 Re 3.04
Ca 0.5000 0.5000 0.5000  8 Ba 3.92, 4 Ge 4.30
Re 0.0000 0.0000 0.0000  2 Ge 2.48
Ge 0.0000 0.5000 0.0000  2 Re 2.48
Ba 0.5000 0.0000 0.0000  2 Re 3.04

***

A plane-wave DFT calculation with PBE was carried out for a relaxed RbAlH4 crystal.

VASP energy, eV per atom: -3.246
Space group: No. 62
Theoretical density, g/cm3: 1.95

abc: 5.7933 7.4497 9.1732
angles: 90.00 90.00 90.00
Closest atoms and distances in Å follow each position.
Atoms (fractional coordinates):
H 0.9769 0.6892 0.9182  1 Al 1.64
Rb 0.2500 0.8371 0.6754  8 H 2.83-3.06
Al 0.7500 0.6807 0.4289  4 H 1.63-1.64
H 0.9769 0.8108 0.4182  1 Al 1.64
Al 0.7500 0.8193 0.9289  4 H 1.63-1.64
H 0.7500 0.9546 0.7892  1 Al 1.63
H 0.4769 0.1892 0.5818  1 Al 1.64
H 0.5231 0.8108 0.4182  1 Al 1.64
Al 0.2500 0.3193 0.5711  4 H 1.63-1.64
H 0.0231 0.3108 0.0818  1 Al 1.64
Rb 0.2500 0.6629 0.1754  8 H 2.83-3.06
H 0.7500 0.5454 0.2892  1 Al 1.63
H 0.2500 0.0454 0.2108  1 Al 1.63
Rb 0.7500 0.1629 0.3246  8 H 2.83-3.06
H 0.7500 0.9257 0.0843  1 Al 1.63
H 0.4769 0.3108 0.0818  1 Al 1.64
H 0.5231 0.6892 0.9182  1 Al 1.64
H 0.2500 0.4257 0.4157  1 Al 1.63
H 0.0231 0.1892 0.5818  1 Al 1.64
H 0.2500 0.4546 0.7108  1 Al 1.63
H 0.2500 0.0743 0.9157  1 Al 1.63
H 0.7500 0.5743 0.5843  1 Al 1.63
Al 0.2500 0.1807 0.0711  4 H 1.63-1.64
Rb 0.7500 0.3371 0.8246  8 H 2.83-3.06

***

A plane-wave DFT calculation with PBE was carried out for a relaxed KZrBr crystal.

VASP energy, eV per atom: -3.918
Energy relative to the elements, uncorrected, eV/atom: -0.145
Space group: No. 42
Theoretical density, g/cm3: 4.00

abc: 8.6871 8.3534 3.4814
angles: 83.65 72.88 23.47
Closest atoms and distances in Å follow each position.
Atoms (fractional coordinates):
Zr 0.6450 0.6450 0.3550  2 Br 2.83
Br 0.0106 0.0106 0.9894  2 Zr 2.83
K 0.3444 0.3444 0.6556  2 Br 3.25, 6 K 3.48-3.59